Record 1
DFT (PBE) results for a relaxed structure of BaNiCl2.

Its magnetization is 0.12 μB per atom. The energy above the lowest structure with this stoichiometry is 176 kJ/mol of formula units. The total energy is -3.682 eV per atom. As for the space-group type: Fm-3m. The uncorrected formation energy is -833 meV/atom.

The structure in POSCAR format:
```
BaNiCl2
1.0
1.4588 -4.7136 1.7304
-1.9108 -1.8369 4.5073
-3.4083 -3.9652 -0.0279
Ba Cl Ni
1 2 1
Cartesian
-1.9301 -5.2579 3.1049
-2.8952 -7.8868 4.6573
-0.9651 -2.6289 1.5524
0.0000 0.0000 0.0000
```

---

Record 2
DFT (PBE) results for a relaxed structure of La3ErAg2.

Its magnetization is 0.00 μB per atom. The total energy is -4.330 eV per atom. As for the space-group type: Pmc2_1.

The structure in POSCAR format:
```
La3ErAg2
1.0
5.3330 0.0000 0.0000
0.0000 6.9955 0.0000
0.0000 0.0000 9.6015
La Ag Er
6 4 2
Cartesian
0.0000 3.4745 9.0063
0.0000 6.9723 0.5952
0.0000 5.8163 6.3705
0.0000 2.3186 3.2309
2.6665 1.1512 7.9703
2.6665 4.6490 1.6311
2.6665 1.5287 1.5675
2.6665 5.0264 8.0339
0.0000 1.9716 6.2266
0.0000 5.4694 3.3749
2.6665 0.0485 4.2663
2.6665 3.5462 5.3351
```

---

Record 3
DFT (PBE) results for a relaxed structure of Sr3Pd3Pt.

Its magnetization is 0.00 μB per atom. The total energy is -4.405 eV per atom. As for the space-group type: C2/m.

The structure in POSCAR format:
```
Sr3Pd3Pt
1.0
4.3484 0.0000 0.6550
2.1792 5.6031 0.2942
-0.0678 -0.6083 15.2112
Pt Sr Pd
2 6 6
Cartesian
2.9397 4.3148 10.0068
3.5201 0.6800 6.1537
1.6622 1.5811 3.7268
2.2785 0.9498 14.3966
4.1814 4.0450 1.7639
3.4465 4.0068 6.6426
3.0134 0.9881 9.5179
4.7977 3.4137 12.4336
5.2661 3.3986 9.3239
4.1815 0.7987 1.7633
1.1937 1.5962 6.8365
0.4333 0.1985 11.8846
6.0266 4.7963 4.2758
2.2784 4.1962 14.3972
```

---

Record 4
DFT (PBE) results for a relaxed structure of TiBiIr2.

Its magnetization is 0.00 μB per atom. The total energy is -6.999 eV per atom. As for the space-group type: I-42d.

The structure in POSCAR format:
```
TiBiIr2
1.0
5.5693 0.0000 0.0000
0.0000 5.5693 0.0000
2.7846 2.7846 6.3812
Ti Ir Bi
2 4 2
Cartesian
2.7846 5.5693 3.1906
2.7846 2.7846 0.0000
1.6331 4.1770 1.5953
6.9616 6.7208 4.7859
4.1770 4.4177 4.7859
3.9362 1.3923 1.5953
0.0000 0.0000 0.0000
5.5693 2.7846 3.1906
```

---

Record 5
DFT (PBE) results for a relaxed structure of FeMo2As.

Its magnetization is 0.30 μB per atom. The total energy is -8.605 eV per atom. As for the space-group type: P4mm.

The structure in POSCAR format:
```
FeMo2As
1.0
3.1921 0.0000 0.0000
0.0000 3.1921 0.0000
0.0000 0.0000 5.7077
Mo Fe As
2 1 1
Cartesian
0.0000 0.0000 5.5285
1.5961 1.5961 1.5257
1.5961 1.5961 4.3514
0.0000 0.0000 2.8638
```

---

Record 6
DFT (PBE) results for a relaxed structure of YTmAg.

Its magnetization is 0.00 μB per atom. The energy above the lowest structure with this stoichiometry is 42 kJ/mol of formula units. The total energy is -4.637 eV per atom. As for the space-group type: P3m1.

The structure in POSCAR format:
```
YTmAg
1.0
3.6558 0.0000 0.0000
0.0000 5.0215 0.0000
0.0000 -2.5107 4.3487
Ag Y Tm
1 1 1
Cartesian
1.1382 0.0000 2.8991
2.2394 2.5107 1.4496
0.2782 0.0000 0.0000
```

---

Record 7
DFT (PBE) results for a relaxed structure of YCr2W.

Its magnetization is 0.42 μB per atom. The energy above the lowest structure with this stoichiometry is 138 kJ/mol of formula units. The total energy is -8.931 eV per atom. As for the space-group type: Pmmm.

The structure in POSCAR format:
```
YCr2W
1.0
3.2534 0.0000 0.0000
0.0000 4.7743 0.0000
0.0000 0.0000 4.4397
W Cr Y
1 2 1
Cartesian
1.6267 0.0000 2.2199
1.6267 2.3871 0.0000
0.0000 0.0000 0.0000
0.0000 2.3871 2.2199
```

---

Record 8
DFT (PBE) results for a relaxed structure of InC2N.

Its magnetization is 0.00 μB per atom. The energy above the lowest structure with this stoichiometry is 32 kJ/mol of formula units. The total energy is -6.800 eV per atom. As for the space-group type: P1. The uncorrected formation energy is 578 meV/atom.

The structure in POSCAR format:
```
InC2N
1.0
-1.0938 3.3581 -0.7752
-4.6002 2.0760 4.3291
2.4104 -0.0152 1.0299
N In C
1 1 2
Cartesian
-4.4400 4.1296 3.6849
-0.9487 2.3311 2.0326
-1.9967 2.7989 4.6390
-3.2454 2.0470 4.2221
```

---

Record 9
DFT (PBE) results for a relaxed structure of Y3IrO6.

Its magnetization is 0.00 μB per atom. The energy above the lowest structure with this stoichiometry is 156 kJ/mol of formula units. The total energy is -8.395 eV per atom. As for the space-group type: Cmc2_1. The uncorrected formation energy is -2595 meV/atom.

The structure in POSCAR format:
```
Y3IrO6
1.0
5.7057 0.0000 0.0000
0.0000 7.1119 0.0018
0.0000 -1.5853 6.9329
O Ir Y
12 2 6
Cartesian
1.0989 2.0360 2.2446
1.0989 3.7930 4.4492
4.0708 5.6695 2.8906
3.9518 3.4906 4.6902
3.7011 0.2665 5.4572
1.2179 1.5526 6.1715
1.2179 -0.1428 4.0441
1.1825 -1.1103 6.5544
3.9518 1.7337 2.4855
4.0708 3.9740 0.7632
4.0354 6.6369 0.3803
0.8483 5.2601 1.4776
2.7045 5.3765 1.3848
5.5574 0.1502 5.5499
2.3687 1.9085 4.1486
5.5009 0.1899 2.1229
2.6480 2.0269 0.6588
5.2216 3.6181 2.7861
2.6480 5.3367 4.8119
5.5009 3.4997 6.2759
```

---

Record 10
DFT (PBE) results for a relaxed structure of HfTl2W.

Its magnetization is 0.00 μB per atom. The energy above the lowest structure with this stoichiometry is 64 kJ/mol of formula units. The total energy is -5.945 eV per atom. As for the space-group type: I-42d.

The structure in POSCAR format:
```
HfTl2W
1.0
7.8115 0.0000 0.0000
0.0000 7.8115 0.0000
3.9057 3.9057 2.9759
Tl W Hf
4 2 2
Cartesian
5.8586 5.7620 2.2319
9.7643 9.8610 2.2319
5.9552 1.9529 0.7440
1.8562 5.8586 0.7440
0.0000 0.0000 0.0000
7.8115 3.9057 1.4879
3.9057 7.8115 1.4879
3.9057 3.9057 0.0000
```

---

Record 11
DFT (PBE) results for a relaxed structure of CrHSe2.

Its magnetization is 0.00 μB per atom. The energy above the lowest structure with this stoichiometry is 64 kJ/mol of formula units. The total energy is -5.155 eV per atom. As for the space-group type: P1.

The structure in POSCAR format:
```
CrHSe2
1.0
-2.9260 -1.1526 -0.5818
-0.5432 -1.9817 6.8779
-3.1182 4.5132 2.6853
Se H Cr
4 2 2
Cartesian
-1.0384 -0.9390 3.2149
-2.7908 0.3529 7.4803
-1.7835 -2.2352 5.8726
-4.0770 1.0158 3.8611
-2.4900 -0.7760 -0.3401
-3.5150 -1.0927 5.0957
-4.5971 1.2223 6.1915
-2.2581 0.1353 5.1896
```

---

Record 12
DFT (PBE) results for a relaxed structure of PrCuPd2.

Its magnetization is 0.00 μB per atom. The total energy is -5.388 eV per atom. As for the space-group type: Pnma.

The structure in POSCAR format:
```
PrCuPd2
1.0
5.5083 0.0000 0.0000
0.0000 7.2214 0.0000
0.0000 0.0000 15.2502
Cu Pd Pr
8 16 8
Cartesian
2.7215 5.4161 6.5408
3.9549 5.4161 2.7704
5.4756 1.8054 1.0843
0.0327 5.4161 14.1659
1.5534 1.8054 12.4798
4.3075 5.4161 10.3955
2.7869 1.8054 8.7094
1.2008 1.8054 4.8547
1.3280 3.2396 7.0743
1.4262 0.3711 14.6994
2.5071 6.8571 4.3673
2.5071 3.9750 4.3673
4.0822 3.9818 0.5508
3.0012 0.3643 10.8830
4.1803 6.8503 8.1759
5.2613 0.3643 3.2579
4.0822 6.8503 0.5508
0.2471 6.8571 11.9924
0.2471 3.9750 11.9924
4.1803 3.9818 8.1759
3.0012 3.2464 10.8830
1.3280 0.3711 7.0743
5.2613 3.2464 3.2579
1.4262 3.2396 14.6994
4.0374 1.8054 5.9909
0.0854 1.8054 9.8029
1.2832 5.4161 1.6342
1.4710 5.4161 9.2594
2.6688 1.8054 2.1778
2.8396 5.4161 13.0724
4.2251 1.8054 13.6160
5.4229 5.4161 5.4473
```

---

Record 13
DFT (PBE) results for a relaxed structure of Li2AsSe4.

Its magnetization is 0.00 μB per atom. The total energy is -3.690 eV per atom. As for the space-group type: C2/m. The uncorrected formation energy is -488 meV/atom.

The structure in POSCAR format:
```
Li2AsSe4
1.0
3.6776 0.0000 0.0000
0.0000 6.6426 -0.0803
-1.8388 -3.3540 6.4557
Li Se As
2 4 1
Cartesian
0.0000 0.3275 3.8675
1.8388 2.9611 2.5078
0.0000 4.0553 0.8550
0.0000 2.8325 4.4989
1.8388 -0.7667 5.5204
1.8388 0.4561 1.8764
0.0000 0.0000 0.0000
```

---

Record 14
DFT (PBE) results for a relaxed structure of ZrScPb2.

Its magnetization is 0.59 μB per atom. The energy above the lowest structure with this stoichiometry is 182 kJ/mol of formula units. The total energy is -5.368 eV per atom. As for the space-group type: F-43m.

The structure in POSCAR format:
```
ZrScPb2
1.0
-4.8005 2.0237 -0.9996
-3.3985 -2.6409 -3.1009
-4.3175 -2.2476 2.1088
Zr Sc Pb
1 1 2
Cartesian
-9.3874 -2.1486 -1.4938
-6.2583 -1.4324 -0.9959
-3.1291 -0.7162 -0.4979
0.0000 0.0000 0.0000
```

---

Record 15
DFT (PBE) results for a relaxed structure of PmThAl6.

Its magnetization is 0.00 μB per atom. The total energy is -4.763 eV per atom. As for the space-group type: P-6m2.

The structure in POSCAR format:
```
PmThAl6
1.0
4.6547 0.0000 0.0000
0.0000 5.7051 -3.0477
0.0000 -0.2068 6.4648
Al Th Pm
6 1 1
Cartesian
2.3274 4.9765 0.7336
2.3274 2.6373 -0.7202
2.3274 5.0665 -2.0201
0.0000 0.0973 2.4291
0.0000 3.3948 0.6698
0.0000 3.2772 4.4054
2.3274 2.2551 2.5036
0.0000 0.2870 5.6703
```

---

Record 16
DFT (PBE) results for a relaxed structure of KLi2GaAu.

Its magnetization is 0.00 μB per atom. The energy above the lowest structure with this stoichiometry is 141 kJ/mol of formula units. The total energy is -2.167 eV per atom. As for the space-group type: P4/mmm.

The structure in POSCAR format:
```
KLi2GaAu
1.0
5.0254 0.0000 0.0000
0.0000 6.1364 0.0000
0.0000 0.0000 5.0254
Li Ga K Au
2 1 1 1
Cartesian
0.0000 0.0000 2.5127
2.5127 0.0000 0.0000
2.5127 3.0682 2.5127
0.0000 3.0682 0.0000
0.0000 0.0000 0.0000
```

---

Record 17
DFT (PBE) results for a relaxed structure of Tb6HoTm5.

Its magnetization is 0.00 μB per atom. The total energy is -4.539 eV per atom. As for the space-group type: C2/m.

The structure in POSCAR format:
```
Tb6HoTm5
1.0
5.6768 0.0000 2.2175
2.8384 5.2893 1.1088
-0.3914 0.0000 12.1432
Tb Tm Ho
6 5 1
Cartesian
2.7403 3.5250 4.1497
5.5787 1.7643 5.2584
2.5451 3.5250 10.2111
5.3834 1.7643 11.3198
2.7396 0.0000 4.1474
2.5458 0.0000 10.2133
5.4811 3.5256 8.2891
5.6768 3.5258 2.2175
-0.1957 0.0000 6.0716
2.6427 1.7637 7.1804
2.8384 1.7635 1.1088
0.0000 0.0000 0.0000
```

---

Record 18
DFT (PBE) results for a relaxed structure of TbSi2NiPt2.

Its magnetization is 0.00 μB per atom. The total energy is -6.497 eV per atom. As for the space-group type: P-3m1. The uncorrected formation energy is -940 meV/atom.

The structure in POSCAR format:
```
TbSi2NiPt2
1.0
-2.5542 -0.9626 -3.1101
2.4943 -2.8891 1.5985
-4.7439 -1.6563 4.4087
Si Tb Pt Ni
2 1 2 1
Cartesian
-0.7212 -2.7820 1.4533
-4.0827 -2.7259 1.4438
0.0000 0.0000 0.0000
-2.5374 -3.4161 3.1411
-2.2665 -2.0918 -0.2440
-2.3720 -0.8281 2.2043
```

---

Record 19
DFT (PBE) results for a relaxed structure of Sm2AlSiRh6.

Its magnetization is 0.00 μB per atom. The total energy is -6.810 eV per atom. As for the space-group type: Fm-3m. The uncorrected formation energy is -539 meV/atom.

The structure in POSCAR format:
```
Sm2AlSiRh6
1.0
6.3782 -0.0004 0.0026
-0.0005 6.3790 0.0025
3.1907 3.1911 4.5144
Rh Sm Al Si
6 2 1 1
Cartesian
6.3788 6.3796 2.2948
1.6184 4.7606 0.0025
7.9501 4.8091 4.5170
1.6176 1.6192 0.0014
3.1897 3.1902 2.2247
7.9509 7.9505 4.5181
3.1897 6.3796 2.2603
6.3788 3.1901 2.2592
0.0000 0.0000 0.0000
3.1889 3.1893 0.0025
```

---

Record 20
DFT (PBE) results for a relaxed structure of Rh2PbW.

Its magnetization is 0.16 μB per atom. The total energy is -7.565 eV per atom. As for the space-group type: I4/mmm.

The structure in POSCAR format:
```
Rh2PbW
1.0
4.6904 -1.4139 0.1391
2.2469 2.7229 3.3993
-4.1253 -2.6340 0.2504
W Rh Pb
1 2 1
Cartesian
0.0000 0.0000 0.0000
0.7952 0.3717 2.7095
2.0169 -1.6967 1.0794
3.4687 0.6545 1.7692
```

---

Record 21
DFT (PBE) results for a relaxed structure of HfScRe2O.

Its magnetization is 0.47 μB per atom. The total energy is -8.463 eV per atom. As for the space-group type: P4/mmm. The uncorrected formation energy is 765 meV/atom.

The structure in POSCAR format:
```
HfScRe2O
1.0
5.1019 0.0000 0.0000
0.0000 3.8884 0.0000
0.0000 0.0000 5.1019
Re Sc Hf O
2 1 1 1
Cartesian
0.0000 0.0000 2.5510
2.5510 0.0000 0.0000
2.5510 1.9442 2.5510
0.0000 0.0000 0.0000
0.0000 1.9442 0.0000
```

---

Record 22
DFT (PBE) results for a relaxed structure of Ce5Dy2S12.

Its magnetization is 0.12 μB per atom. The total energy is -6.495 eV per atom. As for the space-group type: C2/m. The uncorrected formation energy is -1842 meV/atom.

The structure in POSCAR format:
```
Ce5Dy2S12
1.0
-6.4331 2.6537 -3.8791
2.3124 -7.8213 -1.0040
-4.7065 0.6012 8.2165
Dy S Ce
2 12 5
Cartesian
-4.8558 2.0031 -2.9280
-1.5772 0.6506 -0.9511
-4.1061 -0.3206 6.5902
-5.9731 -2.8368 4.3514
-7.0899 1.5525 4.6385
-1.1885 -5.1336 2.9865
-7.6386 0.5672 0.3469
-4.7210 -4.2458 -3.2568
-5.6954 -0.5574 -2.7314
-2.8540 -1.7296 -1.0180
-4.7484 -3.6651 0.8399
-1.7371 -6.1189 -1.3051
-4.0787 -0.9012 2.4935
-3.1317 -4.0089 6.0648
-3.4369 -3.5687 3.2584
-8.0968 -1.0907 4.5000
-5.3902 -0.9977 0.0750
-2.3532 0.3006 4.1082
-0.7303 -3.4757 -1.1666
```

---

Record 23
DFT (PBE) results for a relaxed structure of Tb10Pm4Th.

Its magnetization is 0.00 μB per atom. The total energy is -4.606 eV per atom. As for the space-group type: I4/mmm.

The structure in POSCAR format:
```
Tb10Pm4Th
1.0
-6.2822 4.5339 2.4150
-7.8339 -1.4450 -4.0314
-4.9634 -3.1851 6.7029
Tb Pm Th
10 4 1
Cartesian
-9.0977 -0.4657 -1.0935
-13.3052 -1.3912 3.3337
-5.7744 1.2950 1.7528
-11.1103 1.0854 3.1470
-7.9692 -1.1816 1.9395
-9.9818 0.3695 6.1800
-15.8718 0.4612 4.3204
-3.2077 -0.5574 0.7661
-7.4151 -1.4829 5.1934
-11.6644 1.3867 -0.1069
-7.1037 2.0803 4.8844
-13.3555 -0.3184 6.7594
-11.9758 -2.1764 0.2021
-5.7240 0.2223 -1.6729
0.0000 0.0000 0.0000
```